(1)
Material: PaSnI
Method: DFT, GGA-PBE
State: relaxed

Cell lengths 3.4876, 5.3345, 5.3345 Å; angles 120.00, 90.00, 90.00 degrees
Last column: nearest neighbours and their distance in Å.
Fractional positions:
I 0.1671 0.3333 0.6667  3 Pa 3.08
Pa 0.1663 0.0000 0.0000  3 I 3.08
Sn 0.6666 0.6667 0.3333  2 Sn 3.49, 6 I 3.54, 6 Pa 3.54

Properties
Offset from the most stable computed form, eV per atom: 0.161
Density, kg/m³: 9209
ΔE_f (raw), eV per atom: -0.013
Space-group type: P-6m2 (187)
V, Å³/atom: 28.6


(2)
Material: PaSn2I8
Method: DFT, GGA-PBE
State: relaxed

Cell lengths 8.2506, 8.6094, 9.7770 Å; angles 97.56, 90.00, 118.63 degrees
Last column: nearest neighbours and their distance in Å.
Fractional positions:
Pa 0.0000 0.0000 0.0000  6 I 2.98-3.07
Sn 0.8535 0.7071 0.6087  3 I 2.83-3.07
Sn 0.1465 0.2929 0.3913  3 I 2.83-3.07
I 0.8776 0.2558 0.1564  1 Sn 3.07, 1 Pa 3.07
I 0.3782 0.2558 0.1564  1 Sn 3.07, 1 Pa 3.07
I 0.1224 0.7442 0.8436  1 Sn 3.07, 1 Pa 3.07
I 0.3361 0.6721 0.4356  1 Sn 2.83
I 0.6218 0.7442 0.8436  1 Sn 3.07, 1 Pa 3.07
I 0.8979 0.7959 0.2387  1 Pa 2.98
I 0.1021 0.2041 0.7613  1 Pa 2.98
I 0.6639 0.3279 0.5644  1 Sn 2.83

Properties
Density, kg/m³: 4088
ΔE_f (raw), eV per atom: -0.648
Space-group type: C2/m (12)
V, Å³/atom: 54.8


(3)
Material: PaSnI2
Method: DFT, GGA-PBE
State: relaxed

Cell lengths 3.7070, 3.7070, 11.4970 Å; angles 80.72, 80.72, 60.00 degrees
Last column: nearest neighbours and their distance in Å.
Fractional positions:
I 0.0995 0.0995 0.7014  3 Pa 3.12, 1 Sn 3.37
I 0.9005 0.9005 0.2986  3 Pa 3.12, 1 Sn 3.37
Pa 0.5000 0.5000 0.5000  6 I 3.12
Sn 0.0000 0.0000 0.0000  2 I 3.37, 6 Sn 3.71

Properties
Density, kg/m³: 7455
ΔE_f (raw), eV per atom: -0.323
Space-group type: R-3m (166)
V, Å³/atom: 33.6


(4)
Material: PaSnI
Method: DFT, GGA-PBE
State: relaxed

Cell lengths 3.5520, 3.5521, 16.6246 Å; angles 90.00, 90.00, 120.00 degrees
Last column: nearest neighbours and their distance in Å.
Fractional positions:
Sn 0.3369 0.6738 0.0000  2 I 3.34, 6 Sn 3.55
Sn 0.3327 0.6653 0.5000  6 Pa 3.31, 6 Sn 3.55
Pa 0.6659 0.3318 0.3438  3 I 3.14, 3 Sn 3.31
Pa 0.6659 0.3318 0.6562  3 I 3.14, 3 Sn 3.31
I 0.3327 0.6653 0.7991  3 Pa 3.14, 1 Sn 3.34
I 0.3327 0.6653 0.2009  3 Pa 3.14, 1 Sn 3.34

Properties
Offset from the most stable computed form, eV per atom: 0.000
Density, kg/m³: 8714
ΔE_f (raw), eV per atom: -0.175
Space-group type: Amm2 (38)
V, Å³/atom: 30.3


(5)
Material: SrPaI6
Method: DFT, GGA-PBE
State: relaxed

Cell lengths 7.9106, 7.9046, 8.5493 Å; angles 62.36, 62.32, 59.88 degrees
Last column: nearest neighbours and their distance in Å.
Fractional positions:
Sr 0.5000 0.5000 0.5000  6 I 3.32-3.33
Pa 0.0000 0.0000 0.0000  6 I 3.04
I 0.0723 0.4004 0.7582  1 Pa 3.04, 1 Sr 3.33
I 0.7684 0.0725 0.7594  1 Pa 3.04, 1 Sr 3.33
I 0.5992 0.2319 0.2416  1 Pa 3.04, 1 Sr 3.32
I 0.2316 0.9275 0.2406  1 Pa 3.04, 1 Sr 3.33
I 0.9277 0.5996 0.2418  1 Pa 3.04, 1 Sr 3.33
I 0.4008 0.7681 0.7584  1 Pa 3.04, 1 Sr 3.32

Properties
Density, kg/m³: 4594
ΔE_f (raw), eV per atom: -1.204
Space-group type: P-1 (2)
V, Å³/atom: 48.8


(6)
Material: TbPaI
Method: DFT, GGA-PBE
State: relaxed

Cell lengths 5.4488, 4.0807, 11.3310 Å; angles 111.12, 91.68, 90.00 degrees
Last column: nearest neighbours and their distance in Å.
Fractional positions:
Pa 0.9915 0.3296 0.5795  2 Pa 2.65
Pa 0.0085 0.6704 0.4205  2 Pa 2.65
Tb 0.4962 0.1166 0.3667  2 I 3.26, 6 Pa 3.41-3.61, 2 Tb 3.48
Tb 0.5038 0.8834 0.6333  2 I 3.26, 6 Pa 3.41-3.61, 2 Tb 3.48
I 0.7379 0.5957 0.8456  1 Pa 3.17, 2 Tb 3.26
I 0.2621 0.4043 0.1544  1 Pa 3.17, 2 Tb 3.26

Properties
Density, kg/m³: 7307
ΔE_f (raw), eV per atom: -0.268
Space-group type: P2_1/m (11)
V, Å³/atom: 39.2


(7)
Material: TbPaI2
Method: DFT, GGA-PBE
State: relaxed

Cell lengths 3.6645, 3.6645, 11.0761 Å; angles 80.48, 80.48, 60.00 degrees
Last column: nearest neighbours and their distance in Å.
Fractional positions:
I 0.0968 0.0968 0.7097  3 Tb 3.11, 1 Pa 3.16
I 0.9032 0.9032 0.2903  3 Tb 3.11, 1 Pa 3.16
Pa 0.0000 0.0000 0.0000  2 I 3.16
Tb 0.5000 0.5000 0.5000  6 I 3.11

Properties
Density, kg/m³: 8455
ΔE_f (raw), eV per atom: -0.294
Space-group type: R-3m (166)
V, Å³/atom: 31.6


(8)
Material: Pa2TcI2
Method: DFT, GGA-PBE
State: relaxed

Cell lengths 4.0436, 4.0435, 12.1404 Å; angles 81.48, 80.41, 60.00 degrees
Last column: nearest neighbours and their distance in Å.
Fractional positions:
Pa 0.7123 0.1990 0.3764  3 Tc 2.76
Pa 0.2877 0.8010 0.6236  3 Tc 2.76
Tc 0.0000 0.5000 0.5000  6 Pa 2.76
I 0.4500 0.9156 0.1844  3 Pa 3.27
I 0.5500 0.0844 0.8156  3 Pa 3.27

Properties
Density, kg/m³: 7996
ΔE_f (raw), eV per atom: -0.544
Space-group type: C2/m (12)
V, Å³/atom: 33.8


Repeat the fifth record exactly.
Material: SrPaI6
Method: DFT, GGA-PBE
State: relaxed

Cell lengths 7.9106, 7.9046, 8.5493 Å; angles 62.36, 62.32, 59.88 degrees
Last column: nearest neighbours and their distance in Å.
Fractional positions:
Sr 0.5000 0.5000 0.5000  6 I 3.32-3.33
Pa 0.0000 0.0000 0.0000  6 I 3.04
I 0.0723 0.4004 0.7582  1 Pa 3.04, 1 Sr 3.33
I 0.7684 0.0725 0.7594  1 Pa 3.04, 1 Sr 3.33
I 0.5992 0.2319 0.2416  1 Pa 3.04, 1 Sr 3.32
I 0.2316 0.9275 0.2406  1 Pa 3.04, 1 Sr 3.33
I 0.9277 0.5996 0.2418  1 Pa 3.04, 1 Sr 3.33
I 0.4008 0.7681 0.7584  1 Pa 3.04, 1 Sr 3.32

Properties
Density, kg/m³: 4594
ΔE_f (raw), eV per atom: -1.204
Space-group type: P-1 (2)
V, Å³/atom: 48.8